1.
Material: Zr2Sb2Au
Method: DFT, PBE-GGA
State: optimized geometry

Computed properties:
As for the space group: P4/mbm. As for the uncorrected formation energy: -498 meV per atom. Its total energy is -6.222 eV per atom. The value obtained for the offset from the most stable computed form is 0.0 meV/atom. As for the mass density: 8.8 g/cm³.

Cell: 7.724 7.724 3.922 Å, 90.00 90.00 90.00°
Positions (direct):
Zr (0.648, 0.148, 0.000)
Zr (0.148, 0.352, 0.000)
Zr (0.352, 0.852, 0.000)
Zr (0.852, 0.648, 0.000)
Sb (0.348, 0.152, 0.500)
Sb (0.152, 0.652, 0.500)
Sb (0.652, 0.848, 0.500)
Sb (0.848, 0.348, 0.500)
Au (0.000, 0.000, 0.000)
Au (0.500, 0.500, 0.000)

2.
Material: Y3Os
Method: DFT, PBE-GGA
State: optimized geometry

Computed properties:
As for the space group: R-3m. Its total energy is -7.472 eV per atom. For the formation enthalpy at 0 K, the calculation gives 0.18 eV per atom. As for the mass density: 6.9 g/cm³.

Cell: 3.532 10.370 3.532 Å, 99.81 60.00 99.81°
Positions (direct):
Y (0.500, 0.500, 0.500)
Y (0.731, 0.194, 0.731)
Y (0.269, 0.806, 0.269)
Os (0.000, 0.000, 0.000)

3.
Material: CoHRu
Method: DFT, PBE-GGA
State: optimized geometry

Computed properties:
As for the space group: Cm. Its total energy is -6.466 eV per atom. The value obtained for the offset from the most stable computed form is 7.5 meV/atom. As for the mass density: 10.0 g/cm³.

Cell: 4.589 2.678 8.839 Å, 90.00 99.69 90.00°
Each line ends with the local moment (μB).
Positions (direct):
Co (0.046, 0.000, 0.166)  0.99
Co (0.046, 0.500, 0.666)  0.99
Co (0.288, 0.500, 0.416)  0.89
Co (0.288, 0.000, 0.916)  0.89
H (0.178, 0.500, 0.045)  -0.01
H (0.381, 0.000, 0.299)  -0.01
H (0.178, 0.000, 0.545)  -0.01
H (0.381, 0.500, 0.799)  -0.01
Ru (0.794, 0.500, 0.917)  0.02
Ru (0.569, 0.500, 0.167)  0.04
Ru (0.569, 0.000, 0.667)  0.04
Ru (0.794, 0.000, 0.417)  0.02

4.
Material: Pr8Er6Tl
Method: DFT, PBE-GGA
State: optimized geometry

Computed properties:
As for the space group: P-3. Its total energy is -4.373 eV per atom. For the formation enthalpy at 0 K, the calculation gives 0.16 eV per atom. As for the mass density: 7.6 g/cm³.

Cell: 12.609 12.609 3.700 Å, 90.00 90.00 120.00°
Positions (direct):
Pr (0.221, 0.919, 0.758)
Pr (0.301, 0.221, 0.242)
Pr (0.081, 0.301, 0.758)
Pr (0.333, 0.667, 0.249)
Pr (0.919, 0.699, 0.242)
Pr (0.699, 0.779, 0.758)
Pr (0.667, 0.333, 0.751)
Pr (0.779, 0.081, 0.242)
Er (0.099, 0.610, 0.746)
Er (0.511, 0.901, 0.746)
Er (0.610, 0.511, 0.254)
Er (0.901, 0.390, 0.254)
Er (0.390, 0.489, 0.746)
Er (0.489, 0.099, 0.254)
Tl (0.000, 0.000, 0.500)

5.
Material: Ta2Co2Ir
Method: DFT, PBE-GGA
State: optimized geometry

Computed properties:
As for the space group: P4/mbm. Its total energy is -9.726 eV per atom. For the formation enthalpy at 0 K, the calculation gives -0.37 eV per atom. As for the mass density: 15.8 g/cm³.

Cell: 6.814 6.814 3.048 Å, 90.00 90.00 90.00°
Positions (direct):
Ta (0.176, 0.676, 0.500)
Ta (0.676, 0.824, 0.500)
Ta (0.324, 0.176, 0.500)
Ta (0.824, 0.324, 0.500)
Co (0.626, 0.126, 0.000)
Co (0.374, 0.874, 0.000)
Co (0.874, 0.626, 0.000)
Co (0.126, 0.374, 0.000)
Ir (0.000, 0.000, 0.000)
Ir (0.500, 0.500, 0.000)

6.
Material: Pm3Dy8Ho2
Method: DFT, PBE-GGA
State: optimized geometry

Computed properties:
As for the space group: C2/m. Its total energy is -4.613 eV per atom. For the formation enthalpy at 0 K, the calculation gives 0.02 eV per atom. As for the mass density: 8.2 g/cm³.

Cell: 5.037 7.979 12.851 Å, 55.94 101.28 90.01°
Positions (direct):
Dy (0.307, 0.847, 0.614)
Dy (0.922, 0.542, 0.844)
Dy (0.845, 0.080, 0.689)
Dy (0.617, 0.687, 0.234)
Dy (0.078, 0.458, 0.156)
Dy (0.693, 0.153, 0.386)
Dy (0.155, 0.920, 0.311)
Dy (0.383, 0.313, 0.766)
Pm (0.539, 0.229, 0.078)
Pm (0.000, 0.000, 0.000)
Pm (0.461, 0.771, 0.922)
Ho (0.231, 0.384, 0.462)
Ho (0.769, 0.616, 0.538)

7.
Material: Sm3Te3S
Method: DFT, PBE-GGA
State: optimized geometry

Computed properties:
As for the space group: C2/m. As for the uncorrected formation energy: -1427 meV per atom. Its total energy is -5.386 eV per atom. As for the mass density: 6.4 g/cm³.

Cell: 7.790 7.790 7.928 Å, 92.18 92.18 110.51°
Positions (direct):
Te (0.161, 0.839, 0.500)
Te (0.369, 0.369, 0.642)
Te (0.631, 0.631, 0.358)
Te (0.839, 0.161, 0.500)
Te (0.234, 0.766, 0.000)
Te (0.766, 0.234, 0.000)
Sm (0.512, 0.814, 0.697)
Sm (0.063, 0.063, 0.800)
Sm (0.937, 0.937, 0.200)
Sm (0.488, 0.186, 0.303)
Sm (0.814, 0.512, 0.697)
Sm (0.186, 0.488, 0.303)
S (0.768, 0.768, 0.903)
S (0.232, 0.232, 0.097)

8.
Material: VFePt
Method: DFT, PBE-GGA
State: optimized geometry

Computed properties:
As for the space group: P2_1/m. Its total energy is -8.206 eV per atom. For the formation enthalpy at 0 K, the calculation gives -0.33 eV per atom. The value obtained for the offset from the most stable computed form is 0.0 meV/atom. As for the mass density: 12.5 g/cm³.

Cell: 3.718 3.814 5.962 Å, 90.00 108.16 90.00°
Each line ends with the local moment (μB).
Positions (direct):
V (0.963, 0.867, 0.217)  -1.13
V (0.165, 0.367, 0.622)  -1.13
Fe (0.314, 0.866, 0.922)  1.79
Fe (0.813, 0.366, 0.917)  1.79
Pt (0.649, 0.867, 0.591)  0.04
Pt (0.478, 0.366, 0.249)  0.04

9.
Material: SrMnCuAs2
Method: DFT, PBE-GGA
State: optimized geometry

Computed properties:
As for the space group: P4/mmm. Its total energy is -4.435 eV per atom. For the formation enthalpy at 0 K, the calculation gives 0.41 eV per atom. The value obtained for the offset from the most stable computed form is 980.8 meV/atom. As for the mass density: 4.9 g/cm³.

Cell: 4.815 5.223 4.815 Å, 90.00 90.00 90.00°
Each line ends with the local moment (μB).
Positions (direct):
As (0.500, 0.000, 0.000)  -0.01
As (0.000, 0.000, 0.500)  0.00
Cu (0.000, 0.000, 0.000)  0.01
Sr (0.000, 0.500, 0.000)  0.00
Mn (0.500, 0.500, 0.500)  4.28

10.
Material: Rb4Pr3SmTe8
Method: DFT, PBE-GGA
State: optimized geometry

Computed properties:
As for the space group: R-3m. As for the uncorrected formation energy: -1409 meV per atom. Its total energy is -4.413 eV per atom. As for the mass density: 5.0 g/cm³.

Cell: 9.323 10.127 9.323 Å, 117.42 120.00 90.00°
Positions (direct):
Pr (0.500, 0.500, 0.000)
Pr (0.000, 0.500, 0.500)
Pr (0.500, 0.500, 0.500)
Sm (0.000, 0.500, 0.000)
Rb (0.500, 0.000, 0.500)
Rb (0.000, 0.000, 0.500)
Rb (0.000, 0.000, 0.000)
Rb (0.500, 0.000, 0.000)
Te (0.767, 0.295, 0.534)
Te (0.261, 0.295, 0.028)
Te (0.767, 0.295, 0.028)
Te (0.264, 0.293, 0.529)
Te (0.736, 0.707, 0.471)
Te (0.739, 0.705, 0.972)
Te (0.233, 0.705, 0.972)
Te (0.233, 0.705, 0.466)

11.
Material: CaTm2NpO6
Method: DFT, PBE-GGA
State: optimized geometry

Computed properties:
As for the space group: R3. As for the uncorrected formation energy: -3279 meV per atom. Its total energy is -8.642 eV per atom. As for the mass density: 8.0 g/cm³.

Cell: 5.807 5.807 6.056 Å, 61.35 61.35 60.00°
Each line ends with the local moment (μB).
Positions (direct):
O (0.390, 0.709, 0.757)  -0.03
O (0.623, 0.224, 0.242)  -0.03
O (0.911, 0.623, 0.242)  -0.03
O (0.145, 0.390, 0.757)  -0.03
O (0.709, 0.145, 0.757)  -0.03
O (0.224, 0.911, 0.242)  -0.03
Tm (0.020, 0.020, 0.940)  0.02
Tm (0.525, 0.525, 0.425)  0.01
Ca (0.803, 0.803, 0.590)  0.00
Np (0.312, 0.312, 0.064)  3.07

12.
Material: Na2Li2Ag
Method: DFT, PBE-GGA
State: optimized geometry

Computed properties:
As for the space group: P4/mbm. Its total energy is -1.852 eV per atom. For the formation enthalpy at 0 K, the calculation gives 0.01 eV per atom. The value obtained for the offset from the most stable computed form is 0.0 meV/atom. As for the mass density: 2.3 g/cm³.

Cell: 6.914 6.914 5.104 Å, 90.00 90.00 90.00°
Positions (direct):
Ag (0.500, 0.500, 0.000)
Ag (0.000, 0.000, 0.000)
Na (0.317, 0.183, 0.500)
Na (0.817, 0.317, 0.500)
Na (0.683, 0.817, 0.500)
Na (0.183, 0.683, 0.500)
Li (0.855, 0.645, 0.000)
Li (0.645, 0.145, 0.000)
Li (0.145, 0.355, 0.000)
Li (0.355, 0.855, 0.000)